## CaVAg2As (PBE)

Data for crystalline CaVAg2As at its relaxed geometry.

Cell lengths 5.0816, 5.0816, 4.8616 Å; angles 90.00, 90.00, 90.00 degrees
Last column: nearest neighbours and their distance in Å.
Space group P4/mmm (No. 123)
Asymmetric unit:
Ca (0.0000, 0.0000, 0.0000)  2 V 2.43, 4 Ag 2.54
V (0.0000, 0.0000, 0.5000)  2 Ca 2.43
Ag (0.0000, 0.5000, 0.0000)  2 Ca 2.54
As (0.5000, 0.5000, 0.5000)  8 Ag 3.52, 4 V 3.59

- crystal system = tetragonal
- magnetic moment (μB/atom) = 0.0091
- V (Å³ per cell) = 125.5
- ΔE_f (eV per atom) = 1.65
- E_tot (eV for the cell shown) = -13.22

## PrSm2Rh (PBE)

Data for crystalline PrSm2Rh at its relaxed geometry.

Cell lengths 7.3167, 9.8306, 6.4956 Å; angles 90.00, 90.00, 90.00 degrees
Last column: nearest neighbours and their distance in Å.
Space group Pnma (No. 62)
Asymmetric unit:
Pr (0.0351, 0.2500, 0.1411)  2 Rh 2.89-3.03
Sm (0.1754, 0.0656, 0.6688)  2 Rh 2.88-2.89
Rh (0.1193, 0.7500, 0.4261)  4 Sm 2.88-2.89, 2 Pr 2.89-3.03

- crystal system = orthorhombic
- magnetic moment (μB/atom) = 0.0000
- V (Å³ per cell) = 467.2
- ΔE_f (eV per atom) = -0.44
- excess energy over the best structure of this formula in the dataset (eV per formula unit) = 0.00
- E_tot (eV for the cell shown) = -93.34

## Rb2BaSbBr8 (PBE)

Data for crystalline Rb2BaSbBr8 at its relaxed geometry.

Cell lengths 6.5339, 8.7758, 9.6104 Å; angles 89.99, 89.99, 68.71 degrees
Last column: nearest neighbours and their distance in Å.
Space group P-1 (No. 2)
Asymmetric unit:
Rb (0.0013, 0.9997, 0.2545)  6 Br 3.35-3.67
Ba (0.0000, 0.5000, 0.0000)  6 Br 3.18-3.40
Sb (0.0000, 0.5000, 0.5000)  6 Br 2.69-2.77
Br (0.2404, 0.6922, 0.5004)  1 Sb 2.69
Br (0.2582, 0.3051, 0.7073)  1 Sb 2.77
Br (0.2587, 0.3055, 0.2927)  1 Sb 2.76
Br (0.2626, 0.7424, 0.9996)  1 Ba 3.18, 2 Rb 3.35

- crystal system = triclinic
- magnetic moment (μB/atom) = 0.0000
- V (Å³ per cell) = 513.4
- formation energy without anion corrections (eV per atom) = -1.280
- E_tot (eV for the cell shown) = -36.73

## OsPt2O (PBE)

Data for crystalline OsPt2O at its relaxed geometry.

Cell lengths 6.6364, 6.6364, 5.1367 Å; angles 90.00, 90.00, 90.00 degrees
Last column: nearest neighbours and their distance in Å.
Space group I-42d (No. 122)
Asymmetric unit:
Os (0.0000, 0.0000, 0.0000)  2 O 2.57, 4 Pt 2.62
Pt (0.2111, 0.7500, 0.6250)  2 O 2.26
O (0.0000, 0.0000, 0.5000)  4 Pt 2.26

- crystal system = tetragonal
- magnetic moment (μB/atom) = 0.2063
- V (Å³ per cell) = 226.2
- formation energy without anion corrections (eV per atom) = 0.668
- E_tot (eV for the cell shown) = -102.40

## Hf2Tc2Ge5 (PBE)

Data for crystalline Hf2Tc2Ge5 at its relaxed geometry.

Cell lengths 13.7986, 6.7230, 6.8965 Å; angles 90.00, 90.00, 90.00 degrees
Last column: nearest neighbours and their distance in Å.
Space group Cmce (No. 64)
Asymmetric unit:
Hf (0.1920, 0.0000, 0.0000)  7 Ge 2.65-2.81
Tc (0.0000, 0.1511, 0.3409)  8 Ge 2.56-2.71
Ge (0.0000, 0.0000, 0.0000)  4 Tc 2.56-2.59, 2 Hf 2.65
Ge (0.1300, 0.1359, 0.6356)  1 Ge 2.61, 3 Tc 2.64-2.71, 3 Hf 2.76-2.81

- crystal system = orthorhombic
- magnetic moment (μB/atom) = 0.0000
- V (Å³ per cell) = 639.8
- ΔE_f (eV per atom) = -0.04
- E_tot (eV for the cell shown) = -256.41

## Tb4Pd (PBE)

Data for crystalline Tb4Pd at its relaxed geometry.

Cell lengths 12.6846, 12.7269, 7.3537 Å; angles 90.00, 90.00, 90.00 degrees
Last column: nearest neighbours and their distance in Å.
Space group Fdd2 (No. 43)
Asymmetric unit:
Tb (0.0784, 0.1272, 0.0000)  1 Pd 2.79
Tb (0.1218, 0.1722, 0.5424)  1 Pd 2.79
Pd (0.0000, 0.0000, 0.6460)  4 Tb 2.79

- crystal system = orthorhombic
- magnetic moment (μB/atom) = 0.0000
- V (Å³ per cell) = 1187.2
- ΔE_f (eV per atom) = -0.27
- excess energy over the best structure of this formula in the dataset (eV per formula unit) = 0.00
- E_tot (eV for the cell shown) = -200.53

Which of these has the lowest E_tot?
Hf2Tc2Ge5